[1]
Entry from Alexandria: a geometry-optimized PmDyGa2Pt2 structure (PBE).

Unit cell a=4.4807 b=4.4807 c=7.1197 alpha=90.00 beta=90.00 gamma=120.00
Atoms (fractional coordinates):
1 Ga 0.3333 0.6667 0.2657
2 Dy 0.0000 0.0000 0.5000
3 Ga 0.6667 0.3333 0.7343
4 Pt 0.6667 0.3333 0.2666
5 Pm 0.0000 0.0000 0.0000
6 Pt 0.3333 0.6667 0.7334

Values from the calculation:
energy	-5.63	eV/atom
density of states at the Fermi level	0.58	states/eV/atom


[2]
Entry from Alexandria: a geometry-optimized PmDyGa2Rh2 structure (PBE).

Unit cell a=4.4053 b=4.4053 c=7.2362 alpha=90.00 beta=90.00 gamma=120.00
Atoms (fractional coordinates):
1 Rh 0.3333 0.6667 0.7276
2 Rh 0.6667 0.3333 0.2724
3 Dy 0.0000 0.0000 0.5000
4 Ga 0.6667 0.3333 0.7362
5 Pm 0.0000 0.0000 0.0000
6 Ga 0.3333 0.6667 0.2638

Values from the calculation:
energy	-5.82	eV/atom
density of states at the Fermi level	0.81	states/eV/atom


[3]
Entry from Alexandria: a geometry-optimized Pm2DyGa3Rh4 structure (PBE).

Unit cell a=4.2763 b=4.2763 c=10.9156 alpha=90.00 beta=90.00 gamma=90.00
Atoms (fractional coordinates):
1 Ga 0.0000 0.5000 0.1173
2 Rh 0.0000 0.5000 0.3466
3 Ga 0.0000 0.0000 0.5000
4 Rh 0.0000 0.0000 0.0000
5 Pm 0.5000 0.0000 0.2206
6 Pm 0.0000 0.5000 0.7794
7 Dy 0.5000 0.5000 0.5000
8 Rh 0.5000 0.0000 0.6534
9 Ga 0.5000 0.0000 0.8827
10 Rh 0.5000 0.5000 0.0000

Values from the calculation:
energy	-6.05	eV/atom
density of states at the Fermi level	0.66	states/eV/atom


[4]
Entry from Alexandria: a geometry-optimized PmDyGaTc structure (PBE).

Unit cell a=5.0161 b=5.0161 c=5.0161 alpha=60.00 beta=60.00 gamma=60.00
Atoms (fractional coordinates):
1 Pm 0.5000 0.5000 0.5000
2 Tc 0.7500 0.7500 0.7500
3 Ga 0.2500 0.2500 0.2500
4 Dy 0.0000 0.0000 0.0000

Values from the calculation:
energy	-5.85	eV/atom
density of states at the Fermi level	1.01	states/eV/atom


[5]
Entry from Alexandria: a geometry-optimized PmDyTlGa structure (PBE).

Unit cell a=5.2887 b=5.2887 c=5.2887 alpha=60.00 beta=60.00 gamma=60.00
Atoms (fractional coordinates):
1 Tl 0.2500 0.2500 0.2500
2 Dy 0.5000 0.5000 0.5000
3 Pm 0.0000 0.0000 0.0000
4 Ga 0.7500 0.7500 0.7500

Values from the calculation:
density of states at the Fermi level	0.52	states/eV/atom
energy above the most stable polymorph in this dataset	31	meV/atom


[6]
Entry from Alexandria: a geometry-optimized PmDyTlGa structure (PBE).

Unit cell a=3.6648 b=3.6648 c=7.7274 alpha=90.00 beta=90.00 gamma=90.00
Atoms (fractional coordinates):
1 Dy 0.5000 0.5000 0.5900
2 Tl 0.0000 0.0000 0.8480
3 Pm 0.5000 0.5000 0.1243
4 Ga 0.0000 0.0000 0.3656

Values from the calculation:
density of states at the Fermi level	0.47	states/eV/atom
energy above the most stable polymorph in this dataset	0	meV/atom


[7]
Entry from Alexandria: a geometry-optimized PmDyTmGa structure (PBE).

Unit cell a=5.3396 b=5.3396 c=5.3396 alpha=60.00 beta=60.00 gamma=60.00
Each line ends with the local moment (μB).
Atoms (fractional coordinates):
1 Dy 0.0000 0.0000 0.0000  0.12
2 Pm 0.5000 0.5000 0.5000  0.09
3 Tm 0.2500 0.2500 0.2500  0.15
4 Ga 0.7500 0.7500 0.7500  0.00

Values from the calculation:
energy	-4.31	eV/atom
density of states at the Fermi level	1.68	states/eV/atom


[8]
Entry from Alexandria: a geometry-optimized PmDy2Zn2Ga2 structure (PBE).

Unit cell a=4.4656 b=4.4656 c=9.6078 alpha=76.56 beta=76.56 gamma=60.00
Atoms (fractional coordinates):
1 Ga 0.2597 0.2597 0.2209
2 Zn 0.5979 0.5979 0.2062
3 Pm 0.0000 0.0000 0.0000
4 Ga 0.7403 0.7403 0.7791
5 Dy 0.8723 0.8723 0.3830
6 Dy 0.1277 0.1277 0.6170
7 Zn 0.4021 0.4021 0.7938

Values from the calculation:
energy	-3.63	eV/atom
density of states at the Fermi level	0.50	states/eV/atom


[9]
Entry from Alexandria: a geometry-optimized PmDyZnGa structure (PBE).

Unit cell a=5.1231 b=5.1231 c=5.1231 alpha=60.00 beta=60.00 gamma=60.00
Atoms (fractional coordinates):
1 Zn 0.7500 0.7500 0.7500
2 Ga 0.2500 0.2500 0.2500
3 Pm 0.5000 0.5000 0.5000
4 Dy 0.0000 0.0000 0.0000

Values from the calculation:
energy	-3.88	eV/atom
density of states at the Fermi level	0.90	states/eV/atom


[10]
Entry from Alexandria: a geometry-optimized Pm2Dy2ZnGa4 structure (PBE).

Unit cell a=6.6404 b=6.6404 c=6.6404 alpha=96.93 beta=116.08 gamma=116.08
Atoms (fractional coordinates):
1 Zn 0.0000 0.0000 0.0000
2 Ga 0.0000 0.7579 0.2421
3 Pm 0.0000 0.3117 0.3117
4 Pm 0.0000 0.6883 0.6883
5 Ga 0.4843 0.2421 0.2421
6 Dy 0.5000 0.7500 0.2500
7 Ga 0.0000 0.2421 0.7579
8 Dy 0.5000 0.2500 0.7500
9 Ga 0.5157 0.7579 0.7579

Values from the calculation:
energy	-3.84	eV/atom
density of states at the Fermi level	0.89	states/eV/atom


[11]
Entry from Alexandria: a geometry-optimized Pr4DyGa5 structure (PBE).

Unit cell a=3.6892 b=3.6892 c=18.5315 alpha=90.00 beta=90.00 gamma=90.00
Atoms (fractional coordinates):
1 Dy 0.0000 0.0000 0.0000
2 Pr 0.0000 0.0000 0.3981
3 Ga 0.5000 0.5000 0.0895
4 Pr 0.0000 0.0000 0.8061
5 Pr 0.0000 0.0000 0.6019
6 Ga 0.5000 0.5000 0.5000
7 Ga 0.5000 0.5000 0.9105
8 Ga 0.5000 0.5000 0.7040
9 Pr 0.0000 0.0000 0.1939
10 Ga 0.5000 0.5000 0.2960

Values from the calculation:
energy	-4.44	eV/atom
density of states at the Fermi level	0.46	states/eV/atom


[12]
Entry from Alexandria: a geometry-optimized Pr5DyGa6 structure (PBE).

Unit cell a=5.2310 b=7.3978 c=8.2799 alpha=90.00 beta=71.64 gamma=90.00
Atoms (fractional coordinates):
1 Ga 0.5000 0.7550 0.0000
2 Pr 0.6655 0.0000 0.6684
3 Dy 0.0000 0.0000 0.0000
4 Ga 0.1624 0.2435 0.6743
5 Pr 0.0000 0.5000 0.0000
6 Ga 0.5000 0.2450 0.0000
7 Ga 0.8376 0.2435 0.3257
8 Ga 0.8376 0.7565 0.3257
9 Pr 0.6696 0.5000 0.6604
10 Pr 0.3304 0.5000 0.3396
11 Ga 0.1624 0.7565 0.6743
12 Pr 0.3345 0.0000 0.3316

Values from the calculation:
energy	-4.44	eV/atom
density of states at the Fermi level	0.48	states/eV/atom


Q: What is the formula in the seventh record?
A: PmDyTmGa


Q: Look up the density of states at the Fermi level of the twelfth one.
A: 0.48 states/eV/atom


Please write out number 1 again, unchanged.
Entry from Alexandria: a geometry-optimized PmDyGa2Pt2 structure (PBE).

Unit cell a=4.4807 b=4.4807 c=7.1197 alpha=90.00 beta=90.00 gamma=120.00
Atoms (fractional coordinates):
1 Ga 0.3333 0.6667 0.2657
2 Dy 0.0000 0.0000 0.5000
3 Ga 0.6667 0.3333 0.7343
4 Pt 0.6667 0.3333 0.2666
5 Pm 0.0000 0.0000 0.0000
6 Pt 0.3333 0.6667 0.7334

Values from the calculation:
energy	-5.63	eV/atom
density of states at the Fermi level	0.58	states/eV/atom


Q: Which formula does entry 4 have?
A: PmDyGaTc